Density functional theory data (PBE) for Ba2AlSbPt6 after structural relaxation.

a b c (Å): 6.9912 6.8984 7.0153
angles (deg): 60.18 59.34 89.64
With the nearest neighbours (Å) after each atom.
Positions (direct):
Pt (0.1419, 0.2454, 0.1065)  1 Al 2.54, 1 Sb 2.60, 2 Pt 2.70
Pt (0.2467, 0.1431, 0.5070)  1 Al 2.54, 1 Sb 2.60, 2 Pt 2.70-2.71
Sb (0.5000, 0.5000, 0.0000)  6 Pt 2.60
Pt (0.2460, 0.7509, 0.8915)  1 Al 2.53, 1 Sb 2.60, 2 Pt 2.70-2.71
Ba (0.7129, 0.2867, 0.5739)  3 Pt 3.27, 1 Sb 3.62
Pt (0.8581, 0.7546, 0.8935)  1 Al 2.54, 1 Sb 2.60, 2 Pt 2.70
Pt (0.7540, 0.2491, 0.1085)  1 Al 2.53, 1 Sb 2.60, 2 Pt 2.70-2.71
Ba (0.2871, 0.7133, 0.4261)  3 Pt 3.27, 1 Sb 3.62
Pt (0.7533, 0.8569, 0.4931)  1 Al 2.54, 1 Sb 2.60, 2 Pt 2.70-2.71
Al (0.0000, 0.0000, 0.0000)  6 Pt 2.53-2.54

Results
The space group is P-1 (2). The calculated volume is 238.2 Å³ per cell. The value obtained for the formation energy without anion corrections is -0.688 eV/atom.